(1)
SrCuRe2 PBE optimized geometry; ΔE to the lowest computed polymorph = 0.316 eV per atom
1.0
6.0408 -0.0010 0.0035
3.5645 4.8771 -0.0035
-4.2027 -3.6199 2.3927
Re Cu Sr
2 1 1
Cartesian
0.3075 0.1561 0.0000 Re
4.4951 2.2819 0.0000 Re
2.0822 1.8476 1.1946 Cu
3.3204 -0.5914 1.1981 Sr

=====

(2)
SrCu2Re PBE optimized geometry; ΔE to the lowest computed polymorph = 0.529 eV per atom
1.0
-1.8210 -2.0579 -3.8418
0.6190 -4.6272 -0.7184
-3.6539 -2.9641 0.4161
Cu Sr Re
2 1 1
Cartesian
-3.6419 -7.2369 -3.1081 Cu
0.0000 0.0000 0.0000 Cu
-1.2140 -2.4123 -1.0360 Sr
-2.4279 -4.8246 -2.0720 Re

=====

(3)
Sr2CuRe PBE optimized geometry; ΔE to the lowest computed polymorph = 0.315 eV per atom
1.0
0.3328 -3.1899 4.2163
-4.1604 -0.5625 3.2308
-2.6880 -4.5640 0.0871
Re Sr Cu
1 2 1
Cartesian
-3.2578 -4.1582 3.7671 Re
-1.6289 -2.0791 1.8836 Sr
-4.8867 -6.2373 5.6507 Sr
0.0000 0.0000 0.0000 Cu

=====

(4)
Sr2CuRe PBE optimized geometry; ΔE to the lowest computed polymorph = 0.555 eV per atom
1.0
-1.6466 7.8322 1.9801
-6.3583 -0.0098 -5.2486
-5.8508 2.9560 0.6067
Sr Cu Re
4 2 2
Cartesian
-5.6752 1.8676 -2.8418 Sr
-7.5164 5.1502 -0.8750 Sr
-3.2539 5.4772 0.6938 Sr
-11.2660 9.0618 -2.3005 Sr
-4.0025 3.9112 -1.6343 Cu
-8.1058 3.4287 -3.1381 Cu
-5.7500 7.3497 0.4763 Re
0.0000 0.0000 0.0000 Re

=====

Calculated formation energy (eV/atom)
0.70 1.11 0.93 1.17
Total moment (μB/f.u.)
0.0 2.9 2.0 2.0